(1)
This record from OQMD via LeMat-Bulk describes a relaxed structure of Li4TbAsO6. The functional is GGA-PBE.

Crystal system: monoclinic
Electronic total energy: -6.007 eV/atom

Cell: 5.409 5.409 5.096 Å, 98.83 98.83 121.56°
Element x y z (fractional)
1 Li 0.000 0.000 0.000
2 Li 0.393 0.607 0.000
3 Li 0.663 0.337 0.000
4 Li 0.861 0.139 0.500
5 Tb 0.195 0.805 0.500
6 As 0.524 0.476 0.500
7 O 0.166 0.398 0.269
8 O 0.296 0.256 0.722
9 O 0.459 0.128 0.267
10 O 0.602 0.834 0.731
11 O 0.744 0.704 0.278
12 O 0.872 0.541 0.733



(2)
This record from OQMD via LeMat-Bulk describes a relaxed structure of LiTcAsO. The functional is GGA-PBE.

Crystal system: orthorhombic
Energy above the lowest structure with this stoichiometry: 0 meV/atom

Cell: 3.079 6.441 5.845 Å, 90.00 90.00 90.00°
Element x y z (fractional)
1 Li 0.000 0.128 0.000
2 Li 0.000 0.872 0.500
3 Tc 0.500 0.498 0.210
4 Tc 0.500 0.502 0.710
5 As 0.000 0.274 0.461
6 As 0.000 0.726 0.961
7 O 0.500 0.283 0.957
8 O 0.500 0.717 0.457



Values of theoretical density, in order: 4.92 5.61, all in Mg/m³.